Below is a geometry-optimized Nd3Y6Er2Tm structure, with properties calculated at the PBE level.

Lattice parameters (Å, degrees): 6.208 6.208 11.846 95.00 95.00 119.97
Fractional positions:
Nd 0.167 0.833 0.500
Nd 0.833 0.167 0.500
Nd 0.500 0.500 0.500
Y 0.918 0.585 0.755
Y 0.749 0.749 0.245
Y 0.082 0.415 0.245
Y 0.585 0.918 0.755
Y 0.251 0.251 0.755
Y 0.415 0.082 0.245
Er 0.333 0.667 0.000
Er 0.667 0.333 0.000
Tm 0.000 0.000 0.000

Its density of states at the Fermi level is 1.4619 states/eV per atom. As for the electronic total energy: -5.5356 eV/atom. As for the calculated volume: 389.42 Å³ per cell. Its energy of formation from the pure elements is 0.02 eV per atom.


Below is a geometry-optimized K4SrRh structure, with properties calculated at the PBE level.

Lattice parameters (Å, degrees): 7.226 7.226 7.226 60.00 60.00 60.00
Fractional positions:
K 0.867 0.378 0.378
K 0.378 0.378 0.867
K 0.378 0.867 0.378
K 0.378 0.378 0.378
Sr 0.000 0.000 0.000
Rh 0.750 0.750 0.750

Its density of states at the Fermi level is 0.6019 states/eV per atom. As for the electronic total energy: -1.5583 eV/atom. As for the calculated volume: 266.76 Å³ per cell. Its energy of formation from the pure elements is 0.68 eV per atom.


Below is a geometry-optimized NaBeCuAs2 structure, with properties calculated at the PBE level.

Lattice parameters (Å, degrees): 4.059 4.059 6.007 109.75 109.75 90.00
Fractional positions:
Na 0.000 0.000 0.000
Be 0.750 0.250 0.500
Cu 0.250 0.750 0.500
As 0.627 0.627 0.254
As 0.373 0.373 0.746

Its density of states at the Fermi level is 0.2956 states/eV per atom. As for the electronic total energy: -3.8549 eV/atom. As for the calculated volume: 86.94 Å³ per cell. Its energy of formation from the pure elements is -0.17 eV per atom.